# 1
Entry from Alexandria via LeMat-Bulk: an optimized crystal structure of Co (GGA-PBE). Values from VASP.

Calculated values
calculated formation energy: 0 meV/atom
excess energy over the best structure of this formula in the dataset: 0.000 eV/f.u.
energy: -28.4 eV per cell

The structure in Quantum ESPRESSO input format:
```
&SYSTEM
  ibrav = 0, nat = 4, ntyp = 1
/
ATOMIC_SPECIES
Co 58.93 Co.upf
CELL_PARAMETERS angstrom
2.4969 0.0000 0.0000
-1.2485 2.1624 0.0000
0.0000 0.0000 8.0910
ATOMIC_POSITIONS angstrom
Co 0.0000 0.0000 0.0000
Co 0.0000 0.0000 4.0455
Co 0.0000 1.4416 2.0227
Co 1.2485 0.7208 6.0682
```

# 2
Entry from Alexandria via LeMat-Bulk: an optimized crystal structure of AlAg2Se (GGA-PBE). Values from VASP.

Calculated values
formation energy from raw total energies: 81 meV per atom
excess energy over the best structure of this formula in the dataset: 0.578 eV/f.u.
energy: -12.6 eV per cell

The structure in Quantum ESPRESSO input format:
```
&SYSTEM
  ibrav = 0, nat = 4, ntyp = 3
/
ATOMIC_SPECIES
Al 26.98 Al.upf
Ag 107.87 Ag.upf
Se 78.96 Se.upf
CELL_PARAMETERS angstrom
-2.0444 2.0444 4.5091
2.0444 -2.0444 4.5091
2.0444 2.0444 -4.5091
ATOMIC_POSITIONS angstrom
Al 0.0000 0.0000 0.0000
Ag 2.0444 0.0000 2.2545
Ag 0.0000 2.0444 2.2545
Se 0.0000 0.0000 4.5091
```

# 3
Entry from Alexandria via LeMat-Bulk: an optimized crystal structure of LiCd2Si (GGA-PBE). Values from VASP.

Calculated values
formation energy from raw total energies: 106 meV per atom
energy: -8.7 eV per cell

The structure in Quantum ESPRESSO input format:
```
&SYSTEM
  ibrav = 0, nat = 4, ntyp = 3
/
ATOMIC_SPECIES
Li 6.94 Li.upf
Cd 112.41 Cd.upf
Si 28.09 Si.upf
CELL_PARAMETERS angstrom
2.9609 0.0000 0.0000
0.0000 2.9609 0.0000
0.0000 0.0000 8.8380
ATOMIC_POSITIONS angstrom
Li 0.0000 0.0000 0.0000
Cd 1.4804 1.4804 2.1184
Cd 1.4804 1.4804 6.7196
Si 0.0000 0.0000 4.4190
```

# 4
Entry from Alexandria via LeMat-Bulk: an optimized crystal structure of Tl2ZnOs (GGA-PBE). Values from VASP.

Calculated values
calculated formation energy: 796 meV/atom
excess energy over the best structure of this formula in the dataset: 1.055 eV/f.u.
energy: -14.1 eV per cell

The structure in Quantum ESPRESSO input format:
```
&SYSTEM
  ibrav = 0, nat = 4, ntyp = 3
/
ATOMIC_SPECIES
Tl 204.38 Tl.upf
Zn 65.41 Zn.upf
Os 190.23 Os.upf
CELL_PARAMETERS angstrom
-2.1361 2.1361 4.2148
2.1361 -2.1361 4.2148
2.1361 2.1361 -4.2148
ATOMIC_POSITIONS angstrom
Tl 2.1361 0.0000 2.1074
Tl 0.0000 2.1361 2.1074
Zn 0.0000 0.0000 0.0000
Os 0.0000 0.0000 4.2148
```